DFT (PBE) results for a relaxed HoInCo crystal.

Properties
magnetization	0.0	Bohr magnetons per cell
space-group type	No. 166
energy of formation	-0.172	eV/atom

Lattice parameters (Å, degrees): 7.5408 7.5408 7.5408 35.48 35.48 35.48
Sites, in units of the cell vectors:
Ho 0.2475 0.2475 0.2475
Ho 0.7525 0.7525 0.7525
In 0.0000 0.0000 0.0000
In 0.5000 0.5000 0.5000
Co 0.3742 0.3742 0.3742
Co 0.6258 0.6258 0.6258



DFT (PBE) results for a relaxed Ho12InCo6 crystal.

Properties
magnetization	0.0	Bohr magnetons per cell
space-group type	No. 204
energy of formation	-0.262	eV/atom

Lattice parameters (Å, degrees): 8.3194 8.3194 8.3194 109.47 109.47 109.47
Sites, in units of the cell vectors:
Ho 0.1087 0.8063 0.3024
Ho 0.1937 0.3024 0.4962
Ho 0.1937 0.6976 0.8913
Ho 0.3024 0.1087 0.8063
Ho 0.3024 0.4962 0.1937
Ho 0.4962 0.1937 0.3024
Ho 0.5038 0.8063 0.6976
Ho 0.6976 0.5038 0.8063
Ho 0.6976 0.8913 0.1937
Ho 0.8063 0.3024 0.1087
Ho 0.8063 0.6976 0.5038
Ho 0.8913 0.1937 0.6976
In 0.0000 0.0000 0.0000
Co 0.1134 0.6134 0.5000
Co 0.3866 0.5000 0.8866
Co 0.5000 0.1134 0.6134
Co 0.5000 0.8866 0.3866
Co 0.6134 0.5000 0.1134
Co 0.8866 0.3866 0.5000



DFT (PBE) results for a relaxed HoInCo crystal.

Properties
magnetization	0.7	Bohr magnetons per cell
space-group type	No. 187
energy of formation	-0.144	eV/atom

Lattice parameters (Å, degrees): 4.4963 4.4963 3.5955 90.00 90.00 120.00
Sites, in units of the cell vectors:
Ho 0.0000 0.0000 0.0000
In 0.3333 0.6667 0.5000
Co 0.6667 0.3333 0.5000



DFT (PBE) results for a relaxed Ho3InCo crystal.

Properties
ΔE to the lowest computed polymorph	0	meV per atom
magnetization	0.0	Bohr magnetons per cell
space-group type	No. 11
energy of formation	-0.275	eV/atom

Lattice parameters (Å, degrees): 7.0435 4.7381 8.1646 90.00 112.76 90.00
Sites, in units of the cell vectors:
Ho 0.0606 0.2500 0.2666
Ho 0.3028 0.2500 0.9220
Ho 0.3422 0.7500 0.5966
Ho 0.6578 0.2500 0.4034
Ho 0.6972 0.7500 0.0780
Ho 0.9394 0.7500 0.7334
In 0.3018 0.7500 0.1842
In 0.6982 0.2500 0.8158
Co 0.0692 0.2500 0.5915
Co 0.9308 0.7500 0.4085



DFT (PBE) results for a relaxed Ho8InCo2 crystal.

Properties
magnetization	0.0	Bohr magnetons per cell
space-group type	No. 12
energy of formation	-0.138	eV/atom

Lattice parameters (Å, degrees): 7.8426 7.8426 5.2551 97.22 97.22 113.28
Sites, in units of the cell vectors:
Ho 0.1122 0.1122 0.8008
Ho 0.1702 0.4330 0.4288
Ho 0.2486 0.7514 0.0000
Ho 0.4330 0.1702 0.4288
Ho 0.5670 0.8298 0.5712
Ho 0.7514 0.2486 0.0000
Ho 0.8298 0.5670 0.5712
Ho 0.8878 0.8878 0.1992
In 0.5000 0.5000 0.0000
Co 0.1917 0.8083 0.5000
Co 0.8083 0.1917 0.5000



DFT (PBE) results for a relaxed Ho2InCo crystal.

Properties
ΔE to the lowest computed polymorph	0	meV per atom
magnetization	0.5	Bohr magnetons per cell
space-group type	No. 123
energy of formation	-0.327	eV/atom

Lattice parameters (Å, degrees): 3.3528 3.3528 7.9690 90.00 90.00 90.00
Sites, in units of the cell vectors:
Ho 0.0000 0.0000 0.2059
Ho 0.0000 0.0000 0.7941
In 0.5000 0.5000 0.5000
Co 0.5000 0.5000 0.0000



Number 1: mass density 8718 kg/m³. Number 2: mass density 9169 kg/m³. Number 3: mass density 8934 kg/m³. Number 4: mass density 8837 kg/m³. Number 5: mass density 8916 kg/m³. Number 6: mass density 9335 kg/m³.